SrCoNi2 | Alexandria | PBE | optimized geometry; calculated volume = 64.4 Å³/cell; space-group type = P4/mmm (123); electronic total energy = -4.49 eV/atom; DFT formation energy = 2.408 eV/f.u.
1.0
4.1172 0.0000 0.0000
0.0000 4.1172 0.0000
0.0000 0.0000 3.8005
Sr Co Ni
1 1 2
Cartesian
0.0000 0.0000 0.0000
2.0586 2.0586 0.0000
0.0000 2.0586 1.9002
2.0586 0.0000 1.9002